Record 1
A plane-wave DFT calculation with PBE was carried out for a relaxed structure of TlCo2Ru.

abc: 6.1594 6.1594 6.1594
angles: 90.00 90.00 90.00
Closest atoms and distances in Å follow each position.
Space group Fm-3m (No. 225)
Inequivalent atoms, fractional coordinates:
Tl 0.0000 0.0000 0.0000  8 Co 2.67
Co 0.2500 0.2500 0.2500  4 Ru 2.67, 4 Tl 2.67
Ru 0.0000 0.0000 0.5000  8 Co 2.67

Values from the calculation:
Distance to the lowest polymorph of the same formula: 40 meV per atom
Total moment: 18.376 μB per cell
ΔE_f: 508 meV per atom

***

Record 2
A plane-wave DFT calculation with PBE was carried out for a relaxed structure of K3Bi3Pb.

abc: 10.2386 10.7098 10.7721
angles: 90.00 91.20 90.00
Closest atoms and distances in Å follow each position.
Space group C2/m (No. 12)
Inequivalent atoms, fractional coordinates:
K 0.0000 0.1670 0.0000  1 K 3.58, 4 Bi 3.58-3.64
K 0.0000 0.2825 0.5000  2 Pb 3.74, 6 Bi 3.90-3.98, 2 K 4.10
K 0.0077 0.5000 0.8132  5 Bi 3.71-3.74, 1 Pb 4.01, 5 K 4.03-4.10
Bi 0.1726 0.0000 0.3449  2 Bi 3.16, 2 Pb 3.25-3.35
Bi 0.2485 0.2570 0.2213  1 Pb 3.12, 1 Bi 3.16
Pb 0.1540 0.0000 0.6461  4 Bi 3.12-3.35

Values from the calculation:
Distance to the lowest polymorph of the same formula: 86 meV per atom
Total moment: 0.000 μB per cell
ΔE_f: -230 meV per atom

***

Record 3
A plane-wave DFT calculation with PBE was carried out for a relaxed structure of La9ErCd2.

abc: 5.1054 5.1054 15.4036
angles: 90.00 90.00 90.00
Closest atoms and distances in Å follow each position.
Space group P4/mmm (No. 123)
Inequivalent atoms, fractional coordinates:
La 0.0000 0.0000 0.0000  4 Er 3.61, 8 La 3.66
La 0.0000 0.0000 0.3338  8 La 3.58-3.62, 4 Cd 3.61
La 0.0000 0.5000 0.1705  8 La 3.58-3.66, 2 Cd 3.63, 2 Er 3.66
La 0.0000 0.5000 0.5000  4 Cd 3.57, 8 La 3.61-3.62
Er 0.5000 0.5000 0.0000  12 La 3.61-3.66
Cd 0.5000 0.5000 0.3383  12 La 3.57-3.63

Values from the calculation:
Total moment: 0.000 μB per cell
ΔE_f: -82 meV per atom

***

Record 4
A plane-wave DFT calculation with PBE was carried out for a relaxed structure of SrAl3Tc.

abc: 16.1861 3.4457 7.9098
angles: 90.00 112.12 90.00
Closest atoms and distances in Å follow each position.
Space group C2/m (No. 12)
Inequivalent atoms, fractional coordinates:
Sr 0.1115 0.0000 0.1498  8 Al 3.18-3.47, 2 Tc 3.29, 3 Sr 3.45-3.49
Al 0.0407 0.0000 0.6777  3 Al 2.62-2.78, 4 Tc 2.65-2.75
Al 0.1815 0.5000 0.8572  1 Tc 2.68, 4 Al 2.78-2.93
Al 0.2223 0.0000 0.5986  2 Tc 2.53, 2 Al 2.69
Tc 0.0986 0.5000 0.4934  7 Al 2.53-2.75

Values from the calculation:
Distance to the lowest polymorph of the same formula: 247 meV per atom
Total moment: 0.000 μB per cell
ΔE_f: -75 meV per atom

***

Record 5
A plane-wave DFT calculation with PBE was carried out for a relaxed structure of SnHg2Pb3.

abc: 3.7444 3.7444 12.3546
angles: 90.00 90.00 90.00
Closest atoms and distances in Å follow each position.
Space group P4/mmm (No. 123)
Inequivalent atoms, fractional coordinates:
Sn 0.0000 0.0000 0.0000  8 Pb 3.34, 4 Sn 3.74
Hg 0.0000 0.0000 0.3403  8 Pb 3.30-3.42
Pb 0.5000 0.5000 0.1653  4 Sn 3.34, 4 Hg 3.42, 4 Pb 3.74
Pb 0.5000 0.5000 0.5000  8 Hg 3.30

Values from the calculation:
Total moment: 0.000 μB per cell
ΔE_f: 36 meV per atom

***

Record 6
A plane-wave DFT calculation with PBE was carried out for a relaxed structure of TlICl3.

abc: 5.3918 5.3918 5.3918
angles: 90.00 90.00 90.00
Closest atoms and distances in Å follow each position.
Space group Pm-3m (No. 221)
Inequivalent atoms, fractional coordinates:
Tl 0.0000 0.0000 0.0000  6 Cl 2.70
I 0.5000 0.5000 0.5000  12 Cl 3.81
Cl 0.0000 0.0000 0.5000  2 Tl 2.70

Values from the calculation:
Distance to the lowest polymorph of the same formula: 304 meV per atom
Total moment: 1.472 μB per cell

***

Record 7
A plane-wave DFT calculation with PBE was carried out for a relaxed structure of AcErTe2O8.

abc: 7.6179 7.6179 7.0136
angles: 90.00 90.00 90.00
Closest atoms and distances in Å follow each position.
Space group I-4m2 (No. 119)
Inequivalent atoms, fractional coordinates:
Ac 0.0000 0.0000 0.0000  8 O 2.52-2.63
Er 0.0000 0.5000 0.7500  8 O 2.34-2.54
Te 0.0000 0.0000 0.5000  4 O 2.02
Te 0.0000 0.5000 0.2500  4 O 1.88
O 0.0000 0.1979 0.6924  1 Te 2.02
O 0.0000 0.3259 0.0593  1 Te 1.88

Values from the calculation:
Energy: -6.479 eV per atom
Total moment: 0.000 μB per cell

***

Record 8
A plane-wave DFT calculation with PBE was carried out for a relaxed structure of GaCuTe.

abc: 4.1564 4.4426 7.8048
angles: 90.00 104.18 90.00
Closest atoms and distances in Å follow each position.
Space group Pm (No. 6)
Inequivalent atoms, fractional coordinates:
Ga 0.0000 0.0000 0.0000  2 Cu 2.53-2.56, 2 Te 2.83
Ga 0.4779 0.5000 0.9745  3 Cu 2.49-2.56
Cu 0.4068 0.0000 0.8068  4 Ga 2.53-2.56, 2 Cu 2.63, 2 Te 2.68-2.71
Cu 0.5751 0.5000 0.6716  1 Ga 2.49, 2 Te 2.59, 2 Cu 2.63
Te 0.0988 0.5000 0.2307  4 Ga 2.83-2.85
Te 0.8078 0.0000 0.5805  4 Cu 2.59-2.71

Values from the calculation:
Distance to the lowest polymorph of the same formula: 75 meV per atom
Total moment: 0.000 μB per cell

***

Record 9
A plane-wave DFT calculation with PBE was carried out for a relaxed structure of Cr2NiN.

abc: 2.6357 2.6357 21.4147
angles: 90.00 90.00 120.00
Closest atoms and distances in Å follow each position.
Space group R-3m (No. 166, hexagonal axes)
Inequivalent atoms, fractional coordinates:
Cr 0.0000 0.0000 0.1092  3 N 1.96
Ni 0.0000 0.0000 0.0000  2 Cr 2.34
N 0.0000 0.0000 0.5000  6 Cr 1.96

Values from the calculation:
Distance to the lowest polymorph of the same formula: 357 meV per atom
Total moment: 5.434 μB per cell

***

Record 10
A plane-wave DFT calculation with PBE was carried out for a relaxed structure of Ho2Ga2Ru5W.

abc: 10.1127 10.1127 3.2863
angles: 90.00 90.00 90.00
Closest atoms and distances in Å follow each position.
Space group P4/mbm (No. 127)
Inequivalent atoms, fractional coordinates:
Ho 0.1710 0.3290 0.0000  3 Ga 2.87-3.05, 10 Ru 2.95-3.19
Ga 0.1280 0.6280 0.0000  6 Ru 2.46-2.51
Ru 0.0000 0.5000 0.5000  4 Ga 2.46
Ru 0.0641 0.8043 0.5000  2 Ga 2.51, 2 W 2.65
W 0.0000 0.0000 0.0000  8 Ru 2.65

Values from the calculation:
Total moment: 0.000 μB per cell
ΔE_f: -325 meV per atom

***

Record 11
A plane-wave DFT calculation with PBE was carried out for a relaxed structure of Sm11Co4Hg9.

abc: 14.5864 21.8160 3.6580
angles: 90.00 90.00 90.00
Closest atoms and distances in Å follow each position.
Space group Cmmm (No. 65)
Inequivalent atoms, fractional coordinates:
Sm 0.0000 0.0000 0.0000  8 Hg 3.22, 2 Sm 3.59
Sm 0.0000 0.1645 0.0000  8 Hg 3.22-3.46, 1 Sm 3.59
Sm 0.0000 0.3746 0.0000  4 Co 2.88
Sm 0.1893 0.5000 0.0000  4 Co 2.91
Sm 0.2486 0.3338 0.0000  2 Co 2.75
Co 0.1481 0.4001 0.5000  6 Sm 2.75-2.91, 3 Hg 3.05-3.07
Hg 0.0000 0.5000 0.5000  4 Co 3.07, 8 Sm 3.29-3.31
Hg 0.1058 0.2633 0.5000  1 Co 3.05, 1 Hg 3.09, 6 Sm 3.17-3.41
Hg 0.1463 0.0717 0.5000  1 Co 3.06, 1 Hg 3.13, 6 Sm 3.15-3.40

Values from the calculation:
Total moment: 0.539 μB per cell
ΔE_f: -369 meV per atom

***

Record 12
A plane-wave DFT calculation with PBE was carried out for a relaxed structure of SiH2Pb.

abc: 5.9834 5.9834 5.9834
angles: 90.00 90.00 90.00
Closest atoms and distances in Å follow each position.
Space group Fm-3m (No. 225)
Inequivalent atoms, fractional coordinates:
Si 0.0000 0.0000 0.0000  8 H 2.59
H 0.2500 0.2500 0.2500  4 Pb 2.59, 4 Si 2.59
Pb 0.0000 0.0000 0.5000  8 H 2.59

Values from the calculation:
Distance to the lowest polymorph of the same formula: 403 meV per atom
Total moment: 0.000 μB per cell

***

What did the fifth record say?
A plane-wave DFT calculation with PBE was carried out for a relaxed structure of SnHg2Pb3.

abc: 3.7444 3.7444 12.3546
angles: 90.00 90.00 90.00
Closest atoms and distances in Å follow each position.
Space group P4/mmm (No. 123)
Inequivalent atoms, fractional coordinates:
Sn 0.0000 0.0000 0.0000  8 Pb 3.34, 4 Sn 3.74
Hg 0.0000 0.0000 0.3403  8 Pb 3.30-3.42
Pb 0.5000 0.5000 0.1653  4 Sn 3.34, 4 Hg 3.42, 4 Pb 3.74
Pb 0.5000 0.5000 0.5000  8 Hg 3.30

Values from the calculation:
Total moment: 0.000 μB per cell
ΔE_f: 36 meV per atom